1.
First-principles (PBE) data for a geometry-optimized Cu14NiAu structure, as listed in Alexandria via LeMat-Bulk.

Lattice parameters (Å, degrees): 5.183 5.183 8.443 90.00 90.00 119.78
Positions (direct):
Cu: 0.709 0.794 0.000
Cu: 0.372 0.628 0.243
Cu: 0.372 0.628 0.757
Cu: 0.042 0.459 0.500
Cu: 0.541 0.958 0.500
Cu: 0.709 0.291 0.000
Cu: 0.876 0.124 0.250
Cu: 0.881 0.629 0.244
Cu: 0.208 0.792 0.000
Cu: 0.881 0.629 0.756
Cu: 0.371 0.119 0.244
Cu: 0.206 0.291 0.000
Cu: 0.876 0.124 0.750
Cu: 0.371 0.119 0.756
Au: 0.542 0.458 0.500
Ni: 0.042 0.958 0.500

Summary:
**SG**: No. 38
**Formation energy**: 0.015 eV/atom
**Fermi-level density of states**: 9.158 states/eV/cell
**Crystal system**: orthorhombic
**DFT total energy**: -4.13 eV/atom
**Total moment**: 0.00 μB per cell
**ρ**: 9.66 g/cm3

---

2.
First-principles (PBE) data for a geometry-optimized ZrTa2Ni structure, as listed in Alexandria via LeMat-Bulk.

Lattice parameters (Å, degrees): 4.590 4.590 4.590 60.00 60.00 60.00
Positions (direct):
Ta: 0.750 0.750 0.750
Ta: 0.250 0.250 0.250
Ni: 0.000 0.000 0.000
Zr: 0.500 0.500 0.500

Summary:
**SG**: No. 225
**Formation energy**: 0.183 eV/atom
**Fermi-level density of states**: 2.264 states/eV/cell
**Crystal system**: cubic
**DFT total energy**: -9.33 eV/atom
**Total moment**: 0.00 μB per cell
**ρ**: 12.43 g/cm3

---

Please write out number 1 again, unchanged.
First-principles (PBE) data for a geometry-optimized Cu14NiAu structure, as listed in Alexandria via LeMat-Bulk.

Lattice parameters (Å, degrees): 5.183 5.183 8.443 90.00 90.00 119.78
Positions (direct):
Cu: 0.709 0.794 0.000
Cu: 0.372 0.628 0.243
Cu: 0.372 0.628 0.757
Cu: 0.042 0.459 0.500
Cu: 0.541 0.958 0.500
Cu: 0.709 0.291 0.000
Cu: 0.876 0.124 0.250
Cu: 0.881 0.629 0.244
Cu: 0.208 0.792 0.000
Cu: 0.881 0.629 0.756
Cu: 0.371 0.119 0.244
Cu: 0.206 0.291 0.000
Cu: 0.876 0.124 0.750
Cu: 0.371 0.119 0.756
Au: 0.542 0.458 0.500
Ni: 0.042 0.958 0.500

Summary:
**SG**: No. 38
**Formation energy**: 0.015 eV/atom
**Fermi-level density of states**: 9.158 states/eV/cell
**Crystal system**: orthorhombic
**DFT total energy**: -4.13 eV/atom
**Total moment**: 0.00 μB per cell
**ρ**: 9.66 g/cm3